First-principles (PBE-GGA) data for K3Al2PbO6 after structural relaxation, as listed in Alexandria via LeMat-Bulk. Values from VASP.

Cell and atoms, written as Quantum ESPRESSO input:
```
&SYSTEM
  ibrav = 0, nat = 12, ntyp = 4
/
ATOMIC_SPECIES
K 39.10 K.upf
Al 26.98 Al.upf
Pb 207.20 Pb.upf
O 16.00 O.upf
CELL_PARAMETERS angstrom
6.073 0.000 0.000
-3.037 5.260 0.000
0.000 0.000 7.200
ATOMIC_POSITIONS crystal
K 0.000 0.000 0.000
K 0.333 0.667 0.752
K 0.667 0.333 0.248
Al 0.333 0.667 0.292
Al 0.667 0.333 0.708
Pb 0.000 0.000 0.500
O 0.171 0.342 0.288
O 0.171 0.829 0.288
O 0.342 0.171 0.712
O 0.658 0.829 0.288
O 0.829 0.171 0.712
O 0.829 0.658 0.712
```

Properties
Density of states at the Fermi level (states/eV/f.u.): 2.5

=====

First-principles (PBE-GGA) data for K2AlPdO4 after structural relaxation, as listed in Alexandria via LeMat-Bulk. Values from VASP.

Cell and atoms, written as Quantum ESPRESSO input:
```
&SYSTEM
  ibrav = 0, nat = 16, ntyp = 4
/
ATOMIC_SPECIES
K 39.10 K.upf
Al 26.98 Al.upf
Pd 106.42 Pd.upf
O 16.00 O.upf
CELL_PARAMETERS angstrom
0.000 6.251 9.173
2.787 0.000 9.173
2.787 6.251 0.000
ATOMIC_POSITIONS crystal
K 0.056 0.056 0.694
K 0.306 0.306 0.944
K 0.694 0.694 0.056
K 0.944 0.944 0.306
Al 0.375 0.375 0.375
Al 0.625 0.625 0.625
Pd 0.125 0.125 0.125
Pd 0.875 0.875 0.875
O 0.029 0.659 0.535
O 0.277 0.535 0.659
O 0.341 0.971 0.723
O 0.465 0.723 0.971
O 0.535 0.277 0.029
O 0.659 0.029 0.277
O 0.723 0.465 0.341
O 0.971 0.341 0.465
```

Properties
Density of states at the Fermi level (states/eV/f.u.): 4.7

=====

First-principles (PBE-GGA) data for KPmAlO4 after structural relaxation, as listed in Alexandria via LeMat-Bulk. Values from VASP.

Cell and atoms, written as Quantum ESPRESSO input:
```
&SYSTEM
  ibrav = 0, nat = 14, ntyp = 4
/
ATOMIC_SPECIES
K 39.10 K.upf
Pm 145.00 Pm.upf
Al 26.98 Al.upf
O 16.00 O.upf
CELL_PARAMETERS angstrom
5.971 0.000 0.000
0.000 5.929 0.000
-1.747 0.000 7.234
ATOMIC_POSITIONS crystal
K 0.190 0.250 0.416
K 0.810 0.750 0.584
Pm 0.308 0.250 0.948
Pm 0.692 0.750 0.052
Al 0.228 0.750 0.167
Al 0.772 0.250 0.833
O 0.021 0.750 0.301
O 0.046 0.750 0.937
O 0.422 0.522 0.174
O 0.422 0.978 0.174
O 0.578 0.022 0.826
O 0.578 0.478 0.826
O 0.954 0.250 0.063
O 0.979 0.250 0.699
```

Properties
Density of states at the Fermi level (states/eV/f.u.): 3.6

=====

First-principles (PBE-GGA) data for K3Pm3AlO8 after structural relaxation, as listed in Alexandria via LeMat-Bulk. Values from VASP.

Cell and atoms, written as Quantum ESPRESSO input:
```
&SYSTEM
  ibrav = 0, nat = 15, ntyp = 4
/
ATOMIC_SPECIES
K 39.10 K.upf
Pm 145.00 Pm.upf
Al 26.98 Al.upf
O 16.00 O.upf
CELL_PARAMETERS angstrom
3.463 1.999 6.305
-3.463 1.999 6.305
0.000 -3.999 6.305
ATOMIC_POSITIONS crystal
K 0.000 0.500 0.500
K 0.500 0.000 0.500
K 0.500 0.500 0.000
Pm 0.000 0.000 0.500
Pm 0.000 0.500 0.000
Pm 0.500 0.000 0.000
Al 0.500 0.500 0.500
O 0.230 0.230 0.230
O 0.268 0.701 0.701
O 0.299 0.299 0.732
O 0.299 0.732 0.299
O 0.701 0.268 0.701
O 0.701 0.701 0.268
O 0.732 0.299 0.299
O 0.770 0.770 0.770
```

Properties
Density of states at the Fermi level (states/eV/f.u.): 11.0

=====

First-principles (PBE-GGA) data for K3PmAl2O6 after structural relaxation, as listed in Alexandria via LeMat-Bulk. Values from VASP.

Cell and atoms, written as Quantum ESPRESSO input:
```
&SYSTEM
  ibrav = 0, nat = 12, ntyp = 4
/
ATOMIC_SPECIES
K 39.10 K.upf
Pm 145.00 Pm.upf
Al 26.98 Al.upf
O 16.00 O.upf
CELL_PARAMETERS angstrom
6.115 0.000 0.000
-3.057 5.295 0.000
0.000 0.000 7.172
ATOMIC_POSITIONS crystal
K 0.000 0.000 0.000
K 0.333 0.667 0.750
K 0.667 0.333 0.250
Pm 0.000 0.000 0.500
Al 0.333 0.667 0.288
Al 0.667 0.333 0.712
O 0.172 0.344 0.290
O 0.172 0.828 0.290
O 0.344 0.172 0.710
O 0.656 0.828 0.290
O 0.828 0.172 0.710
O 0.828 0.656 0.710
```

Properties
Density of states at the Fermi level (states/eV/f.u.): 0.0

=====

First-principles (PBE-GGA) data for K2PmAl2O6 after structural relaxation, as listed in Alexandria via LeMat-Bulk. Values from VASP.

Cell and atoms, written as Quantum ESPRESSO input:
```
&SYSTEM
  ibrav = 0, nat = 11, ntyp = 4
/
ATOMIC_SPECIES
K 39.10 K.upf
Pm 145.00 Pm.upf
Al 26.98 Al.upf
O 16.00 O.upf
CELL_PARAMETERS angstrom
5.461 0.000 0.000
-2.730 4.729 0.000
0.000 0.000 6.350
ATOMIC_POSITIONS crystal
K 0.333 0.667 0.000
K 0.667 0.333 0.000
Pm 0.000 0.000 0.500
Al 0.333 0.667 0.500
Al 0.667 0.333 0.500
O 0.000 0.387 0.661
O 0.000 0.613 0.339
O 0.387 0.000 0.661
O 0.387 0.387 0.339
O 0.613 0.000 0.339
O 0.613 0.613 0.661
```

Properties
Density of states at the Fermi level (states/eV/f.u.): 7.3

=====

First-principles (PBE-GGA) data for K2PmAlO4 after structural relaxation, as listed in Alexandria via LeMat-Bulk. Values from VASP.

Cell and atoms, written as Quantum ESPRESSO input:
```
&SYSTEM
  ibrav = 0, nat = 8, ntyp = 4
/
ATOMIC_SPECIES
K 39.10 K.upf
Pm 145.00 Pm.upf
Al 26.98 Al.upf
O 16.00 O.upf
CELL_PARAMETERS angstrom
5.703 0.000 0.000
0.000 3.373 0.000
-1.975 0.000 6.183
ATOMIC_POSITIONS crystal
K 0.000 0.000 0.000
K 0.500 0.500 0.000
Pm 0.000 0.500 0.500
Al 0.500 0.000 0.500
O 0.276 0.000 0.673
O 0.297 0.500 0.319
O 0.703 0.500 0.681
O 0.724 0.000 0.327
```

Properties
Density of states at the Fermi level (states/eV/f.u.): 0.0

=====

First-principles (PBE-GGA) data for K3Pm2AlO6 after structural relaxation, as listed in Alexandria via LeMat-Bulk. Values from VASP.

Cell and atoms, written as Quantum ESPRESSO input:
```
&SYSTEM
  ibrav = 0, nat = 12, ntyp = 4
/
ATOMIC_SPECIES
K 39.10 K.upf
Pm 145.00 Pm.upf
Al 26.98 Al.upf
O 16.00 O.upf
CELL_PARAMETERS angstrom
2.955 -5.125 0.000
2.955 5.125 0.000
-1.959 0.000 6.233
ATOMIC_POSITIONS crystal
K 0.000 0.000 0.000
K 0.340 0.660 0.000
K 0.660 0.340 0.000
Pm 0.167 0.833 0.500
Pm 0.833 0.167 0.500
Al 0.500 0.500 0.500
O 0.147 0.440 0.320
O 0.267 0.267 0.677
O 0.440 0.147 0.320
O 0.560 0.853 0.680
O 0.733 0.733 0.323
O 0.853 0.560 0.680
```

Properties
Density of states at the Fermi level (states/eV/f.u.): 0.0

=====

First-principles (PBE-GGA) data for KPm2AlO5 after structural relaxation, as listed in Alexandria via LeMat-Bulk. Values from VASP.

Cell and atoms, written as Quantum ESPRESSO input:
```
&SYSTEM
  ibrav = 0, nat = 18, ntyp = 4
/
ATOMIC_SPECIES
K 39.10 K.upf
Pm 145.00 Pm.upf
Al 26.98 Al.upf
O 16.00 O.upf
CELL_PARAMETERS angstrom
-3.391 3.391 5.518
3.391 -3.391 5.518
3.391 3.391 -5.518
ATOMIC_POSITIONS crystal
K 0.250 0.250 0.000
K 0.750 0.750 0.000
Pm 0.182 0.682 0.864
Pm 0.318 0.182 0.500
Pm 0.682 0.818 0.500
Pm 0.818 0.318 0.136
Al 0.250 0.750 0.500
Al 0.750 0.250 0.500
O 0.000 0.000 0.000
O 0.004 0.772 0.500
O 0.228 0.728 0.232
O 0.272 0.504 0.500
O 0.496 0.996 0.768
O 0.500 0.500 0.000
O 0.504 0.004 0.232
O 0.728 0.496 0.500
O 0.772 0.272 0.768
O 0.996 0.228 0.500
```

Properties
Density of states at the Fermi level (states/eV/f.u.): 0.0

=====

First-principles (PBE-GGA) data for K2PrAlO4 after structural relaxation, as listed in Alexandria via LeMat-Bulk. Values from VASP.

Cell and atoms, written as Quantum ESPRESSO input:
```
&SYSTEM
  ibrav = 0, nat = 8, ntyp = 4
/
ATOMIC_SPECIES
K 39.10 K.upf
Pr 140.91 Pr.upf
Al 26.98 Al.upf
O 16.00 O.upf
CELL_PARAMETERS angstrom
-2.939 2.939 4.362
2.939 -2.939 4.362
2.939 2.939 -4.362
ATOMIC_POSITIONS crystal
K 0.000 0.000 0.000
K 0.750 0.250 0.500
Pr 0.500 0.500 0.000
Al 0.250 0.750 0.500
O 0.212 0.650 0.140
O 0.350 0.490 0.562
O 0.510 0.072 0.860
O 0.928 0.788 0.438
```

Properties
Density of states at the Fermi level (states/eV/f.u.): 0.0

=====

First-principles (PBE-GGA) data for KPr2AlO5 after structural relaxation, as listed in Alexandria via LeMat-Bulk. Values from VASP.

Cell and atoms, written as Quantum ESPRESSO input:
```
&SYSTEM
  ibrav = 0, nat = 18, ntyp = 4
/
ATOMIC_SPECIES
K 39.10 K.upf
Pr 140.91 Pr.upf
Al 26.98 Al.upf
O 16.00 O.upf
CELL_PARAMETERS angstrom
-3.451 3.451 5.542
3.451 -3.451 5.542
3.451 3.451 -5.542
ATOMIC_POSITIONS crystal
K 0.250 0.250 0.000
K 0.750 0.750 0.000
Pr 0.182 0.682 0.864
Pr 0.318 0.182 0.500
Pr 0.682 0.818 0.500
Pr 0.818 0.318 0.136
Al 0.250 0.750 0.500
Al 0.750 0.250 0.500
O 0.000 0.000 0.000
O 0.006 0.772 0.500
O 0.228 0.728 0.235
O 0.272 0.506 0.500
O 0.494 0.994 0.765
O 0.500 0.500 0.000
O 0.506 0.006 0.235
O 0.728 0.494 0.500
O 0.772 0.272 0.765
O 0.994 0.228 0.500
```

Properties
Density of states at the Fermi level (states/eV/f.u.): 0.0

=====

First-principles (PBE-GGA) data for K4Pr3AlO8 after structural relaxation, as listed in Alexandria via LeMat-Bulk. Values from VASP.

Cell and atoms, written as Quantum ESPRESSO input:
```
&SYSTEM
  ibrav = 0, nat = 16, ntyp = 4
/
ATOMIC_SPECIES
K 39.10 K.upf
Pr 140.91 Pr.upf
Al 26.98 Al.upf
O 16.00 O.upf
CELL_PARAMETERS angstrom
6.303 -3.484 0.000
6.303 3.484 0.000
-3.913 0.000 6.341
ATOMIC_POSITIONS crystal
K 0.000 0.000 0.000
K 0.000 0.500 0.000
K 0.500 0.000 0.000
K 0.500 0.500 0.000
Pr 0.000 0.000 0.500
Pr 0.000 0.500 0.500
Pr 0.500 0.000 0.500
Al 0.500 0.500 0.500
O 0.223 0.223 0.695
O 0.235 0.235 0.272
O 0.277 0.681 0.659
O 0.319 0.723 0.341
O 0.681 0.277 0.659
O 0.723 0.319 0.341
O 0.765 0.765 0.728
O 0.777 0.777 0.305
```

Properties
Density of states at the Fermi level (states/eV/f.u.): 0.0

=====

First-principles (PBE-GGA) data for K2AlPtO after structural relaxation, as listed in Alexandria via LeMat-Bulk. Values from VASP.

Cell and atoms, written as Quantum ESPRESSO input:
```
&SYSTEM
  ibrav = 0, nat = 5, ntyp = 4
/
ATOMIC_SPECIES
K 39.10 K.upf
Al 26.98 Al.upf
Pt 195.08 Pt.upf
O 16.00 O.upf
CELL_PARAMETERS angstrom
6.413 0.000 0.000
0.000 6.413 0.000
0.000 0.000 3.451
ATOMIC_POSITIONS crystal
K 0.000 0.500 0.000
K 0.500 0.000 0.000
Al 0.000 0.000 0.000
Pt 0.500 0.500 0.500
O 0.000 0.000 0.500
```

Properties
Density of states at the Fermi level (states/eV/f.u.): 2.3

=====

First-principles (PBE-GGA) data for K2AlPtO4 after structural relaxation, as listed in Alexandria via LeMat-Bulk. Values from VASP.

Cell and atoms, written as Quantum ESPRESSO input:
```
&SYSTEM
  ibrav = 0, nat = 8, ntyp = 4
/
ATOMIC_SPECIES
K 39.10 K.upf
Al 26.98 Al.upf
Pt 195.08 Pt.upf
O 16.00 O.upf
CELL_PARAMETERS angstrom
-3.052 3.052 3.329
3.052 -3.052 3.329
3.052 3.052 -3.329
ATOMIC_POSITIONS crystal
K 0.000 0.000 0.000
K 0.750 0.250 0.500
Al 0.250 0.750 0.500
Pt 0.500 0.500 0.000
O 0.284 0.467 0.585
O 0.301 0.716 0.182
O 0.533 0.119 0.818
O 0.881 0.699 0.415
```

Properties
Density of states at the Fermi level (states/eV/f.u.): 4.4

=====

First-principles (PBE-GGA) data for K2PuAlO6 after structural relaxation, as listed in Alexandria via LeMat-Bulk. Values from VASP.

Cell and atoms, written as Quantum ESPRESSO input:
```
&SYSTEM
  ibrav = 0, nat = 20, ntyp = 4
/
ATOMIC_SPECIES
K 39.10 K.upf
Pu 244.00 Pu.upf
Al 26.98 Al.upf
O 16.00 O.upf
CELL_PARAMETERS angstrom
2.920 1.686 9.607
-2.920 1.686 9.607
0.000 -3.372 9.607
ATOMIC_POSITIONS crystal
K 0.133 0.133 0.133
K 0.284 0.284 0.284
K 0.716 0.716 0.716
K 0.867 0.867 0.867
Pu 0.408 0.408 0.408
Pu 0.592 0.592 0.592
Al 0.000 0.000 0.000
Al 0.500 0.500 0.500
O 0.164 0.603 0.603
O 0.200 0.200 0.713
O 0.200 0.713 0.200
O 0.287 0.800 0.800
O 0.397 0.397 0.836
O 0.397 0.836 0.397
O 0.603 0.164 0.603
O 0.603 0.603 0.164
O 0.713 0.200 0.200
O 0.800 0.287 0.800
O 0.800 0.800 0.287
O 0.836 0.397 0.397
```

=====

First-principles (PBE-GGA) data for KPuAl2O8 after structural relaxation, as listed in Alexandria via LeMat-Bulk. Values from VASP.

Cell and atoms, written as Quantum ESPRESSO input:
```
&SYSTEM
  ibrav = 0, nat = 12, ntyp = 4
/
ATOMIC_SPECIES
K 39.10 K.upf
Pu 244.00 Pu.upf
Al 26.98 Al.upf
O 16.00 O.upf
CELL_PARAMETERS angstrom
-3.526 3.526 3.293
3.526 -3.526 3.293
3.526 3.526 -3.293
ATOMIC_POSITIONS crystal
K 0.000 0.000 0.000
Pu 0.750 0.250 0.500
Al 0.250 0.750 0.500
Al 0.500 0.500 0.000
O 0.046 0.386 0.340
O 0.046 0.706 0.660
O 0.129 0.337 0.791
O 0.294 0.954 0.340
O 0.546 0.337 0.209
O 0.614 0.954 0.660
O 0.663 0.454 0.791
O 0.663 0.871 0.209
```

Properties
Density of states at the Fermi level (states/eV/f.u.): 6.8

=====

First-principles (PBE-GGA) data for K3Pu2AlO9 after structural relaxation, as listed in Alexandria via LeMat-Bulk. Values from VASP.

Cell and atoms, written as Quantum ESPRESSO input:
```
&SYSTEM
  ibrav = 0, nat = 15, ntyp = 4
/
ATOMIC_SPECIES
K 39.10 K.upf
Pu 244.00 Pu.upf
Al 26.98 Al.upf
O 16.00 O.upf
CELL_PARAMETERS angstrom
5.780 0.000 0.000
-2.890 5.006 0.000
0.000 0.000 7.122
ATOMIC_POSITIONS crystal
K 0.000 0.000 0.000
K 0.333 0.667 0.663
K 0.667 0.333 0.337
Pu 0.333 0.667 0.184
Pu 0.667 0.333 0.816
Al 0.000 0.000 0.500
O 0.000 0.500 0.000
O 0.162 0.323 0.341
O 0.162 0.838 0.341
O 0.323 0.162 0.659
O 0.500 0.000 0.000
O 0.500 0.500 0.000
O 0.677 0.838 0.341
O 0.838 0.162 0.659
O 0.838 0.677 0.659
```

Properties
Density of states at the Fermi level (states/eV/f.u.): 8.6

=====

First-principles (PBE-GGA) data for KAlRe2O8 after structural relaxation, as listed in Alexandria via LeMat-Bulk. Values from VASP.

Cell and atoms, written as Quantum ESPRESSO input:
```
&SYSTEM
  ibrav = 0, nat = 12, ntyp = 4
/
ATOMIC_SPECIES
K 39.10 K.upf
Al 26.98 Al.upf
Re 186.21 Re.upf
O 16.00 O.upf
CELL_PARAMETERS angstrom
5.615 0.000 0.000
-2.807 4.863 0.000
0.000 0.000 7.330
ATOMIC_POSITIONS crystal
K 0.000 0.000 0.000
Al 0.000 0.000 0.500
Re 0.333 0.667 0.732
Re 0.667 0.333 0.268
O 0.155 0.313 0.654
O 0.158 0.845 0.654
O 0.313 0.158 0.346
O 0.333 0.667 0.973
O 0.667 0.333 0.027
O 0.687 0.842 0.654
O 0.842 0.155 0.346
O 0.845 0.687 0.346
```

Properties
Density of states at the Fermi level (states/eV/f.u.): 7.2

=====

First-principles (PBE-GGA) data for KAlRe2O after structural relaxation, as listed in Alexandria via LeMat-Bulk. Values from VASP.

Cell and atoms, written as Quantum ESPRESSO input:
```
&SYSTEM
  ibrav = 0, nat = 5, ntyp = 4
/
ATOMIC_SPECIES
K 39.10 K.upf
Al 26.98 Al.upf
Re 186.21 Re.upf
O 16.00 O.upf
CELL_PARAMETERS angstrom
4.681 0.000 0.000
0.000 4.681 0.000
0.000 0.000 6.485
ATOMIC_POSITIONS crystal
K 0.000 0.000 0.000
Al 0.000 0.000 0.500
Re 0.000 0.500 0.500
Re 0.500 0.000 0.500
O 0.500 0.500 0.000
```

Properties
Density of states at the Fermi level (states/eV/f.u.): 10.1

=====

First-principles (PBE-GGA) data for KAl2ReO after structural relaxation, as listed in Alexandria via LeMat-Bulk. Values from VASP.

Cell and atoms, written as Quantum ESPRESSO input:
```
&SYSTEM
  ibrav = 0, nat = 5, ntyp = 4
/
ATOMIC_SPECIES
K 39.10 K.upf
Al 26.98 Al.upf
Re 186.21 Re.upf
O 16.00 O.upf
CELL_PARAMETERS angstrom
4.782 0.000 0.000
0.000 4.782 0.000
0.000 0.000 6.758
ATOMIC_POSITIONS crystal
K 0.000 0.000 0.000
Al 0.000 0.500 0.500
Al 0.500 0.000 0.500
Re 0.000 0.000 0.500
O 0.500 0.500 0.000
```

Properties
Density of states at the Fermi level (states/eV/f.u.): 4.2

=====

| no. | size of the total moment (μB per atom) | density (Mg/m³) | ΔE_f (raw) (eV per atom) |
| --- | --- | --- | --- |
| 1 | 0.000 | 3.43 | -1.784 |
| 2 | 0.000 | 2.86 | -1.446 |
| 3 | 0.147 | 3.57 | -2.461 |
| 4 | 0.076 | 4.48 | -2.471 |
| 5 | 0.000 | 2.95 | -2.358 |
| 6 | 0.094 | 3.78 | -2.368 |
| 7 | 0.000 | 4.39 | -2.316 |
| 8 | 0.000 | 4.66 | -2.435 |
| 9 | 0.000 | 5.71 | -2.951 |
| 10 | 0.000 | 3.42 | -2.480 |
| 11 | 0.000 | 5.38 | -2.909 |
| 12 | 0.000 | 4.38 | -2.384 |
| 13 | 0.000 | 3.70 | -0.285 |
| 14 | 0.133 | 4.88 | -1.523 |
| 15 | 0.098 | 5.21 | -2.272 |
| 16 | 0.083 | 4.72 | -1.790 |
| 17 | 0.267 | 6.25 | -2.394 |
| 18 | 0.169 | 4.70 | -1.806 |
| 19 | 1.111 | 5.31 | 2.135 |
| 20 | 0.543 | 3.17 | 0.971 |